# 1
The following is a GGA-PBE calculation of crystalline ZrTcOs2 at its relaxed geometry, from Alexandria via LeMat-Bulk.

Output
Space group: P2/m (10)
DFT total energy: -41.3 eV for the cell shown
Relative energy among the computed polymorphs: 0.019 eV/atom

The structure in POSCAR format:
```
ZrTcOs2
1.0
-3.276 -2.048 -0.354
0.392 -1.080 2.611
-2.643 3.381 4.895
Os Tc Zr
2 1 1
direct
0.000 0.968 0.029
0.000 0.532 0.471
0.500 0.250 0.250
0.500 0.750 0.750
```



# 2
The following is a GGA-PBE calculation of crystalline ZrTcOs2 at its relaxed geometry, from Alexandria via LeMat-Bulk.

Output
Space group: C2/m (12)
DFT total energy: -41.2 eV for the cell shown
Relative energy among the computed polymorphs: 0.056 eV/atom

The structure in POSCAR format:
```
ZrTcOs2
1.0
-2.162 -4.427 0.066
0.548 -4.838 -0.754
1.132 -1.500 4.496
Os Tc Zr
2 1 1
direct
0.011 0.011 0.971
0.489 0.489 0.529
0.750 0.750 0.750
0.250 0.250 0.250
```



Number 1: energy of formation 0.0178 eV/atom. Number 2: energy of formation 0.0548 eV/atom.